Computed, not measured: an optimized crystal structure of RbAcHgO3 at the PBE level of DFT.

## Properties
- V: 23.9 Å³/atom
- D(E_F): 0.0 states/eV/f.u.
- E: -63.15 eV/cell

Structure (CIF):
```
data_RbAcHgO3
_chemical_formula_sum 'Rb2 Ac2 Hg2 O6'
_cell_length_a 7.451
_cell_length_b 3.977
_cell_length_c 9.949
_cell_angle_alpha 90.00
_cell_angle_beta 103.43
_cell_angle_gamma 90.00
_space_group_name_H-M_alt 'P 1 21/m 1'
_space_group_IT_number 11
_space_group_name_Hall '-P 2yb'
loop_
_atom_site_label
_atom_site_type_symbol
_atom_site_fract_x
_atom_site_fract_y
_atom_site_fract_z
Rb1 Rb 0.031 0.250 0.329
Ac1 Ac 0.471 0.250 0.661
Hg1 Hg 0.279 0.250 0.997
O1 O 0.219 0.250 0.791
O2 O 0.340 0.750 0.518
O3 O 0.342 0.250 0.205
```

=====

Computed, not measured: an optimized crystal structure of InPtO2F at the PBE level of DFT.

## Properties
- V: 14.6 Å³/atom
- D(E_F): 3.0 states/eV/f.u.
- E: -21.97 eV/cell

Structure (CIF):
```
data_InPtO2F
_chemical_formula_sum 'In1 Pt1 O2 F1'
_cell_length_a 4.227
_cell_length_b 4.227
_cell_length_c 4.092
_cell_angle_alpha 90.00
_cell_angle_beta 90.00
_cell_angle_gamma 90.00
_space_group_name_H-M_alt 'P 4/m m m'
_space_group_IT_number 123
_space_group_name_Hall '-P 4 2'
loop_
_atom_site_label
_atom_site_type_symbol
_atom_site_fract_x
_atom_site_fract_y
_atom_site_fract_z
In1 In 0.000 0.000 0.000
Pt1 Pt 0.500 0.500 0.500
O1 O 0.000 0.500 0.000
F1 F 0.000 0.000 0.500
```

=====

Computed, not measured: an optimized crystal structure of MnAg at the PBE level of DFT.

## Properties
- Formation energy: 379 meV per atom
- V: 16.7 Å³/atom
- D(E_F): 1.4 states/eV/f.u.
- E: -22.53 eV/cell

Structure (CIF):
```
data_MnAg
_chemical_formula_sum 'Mn2 Ag2'
_cell_length_a 2.9136
_cell_length_b 2.9136
_cell_length_c 9.0903
_cell_angle_alpha 90.00
_cell_angle_beta 90.00
_cell_angle_gamma 120.00
_space_group_name_H-M_alt 'P 63/m m c'
_space_group_IT_number 194
_space_group_name_Hall '-P 6c 2c'
loop_
_atom_site_label
_atom_site_type_symbol
_atom_site_fract_x
_atom_site_fract_y
_atom_site_fract_z
Mn1 Mn 0.0000 0.0000 0.0000
Ag1 Ag 0.3333 0.6667 0.2500
```

=====

Computed, not measured: an optimized crystal structure of RbPaTl2F8 at the PBE level of DFT.

## Properties
- V: 20.2 Å³/atom
- D(E_F): 0.0 states/eV/f.u.
- E: -133.62 eV/cell

Structure (CIF):
```
data_RbPaTl2F8
_chemical_formula_sum 'Rb2 Pa2 Tl4 F16'
_cell_length_a 6.260
_cell_length_b 6.260
_cell_length_c 12.372
_cell_angle_alpha 90.00
_cell_angle_beta 90.00
_cell_angle_gamma 90.00
_space_group_name_H-M_alt 'I -4 m 2'
_space_group_IT_number 119
_space_group_name_Hall 'I -4 -2'
loop_
_atom_site_label
_atom_site_type_symbol
_atom_site_fract_x
_atom_site_fract_y
_atom_site_fract_z
Rb1 Rb 0.000 0.000 0.000
Pa1 Pa 0.000 0.500 0.250
Tl1 Tl 0.000 0.000 0.500
Tl2 Tl 0.000 0.500 0.750
F1 F 0.206 0.294 0.146
```

=====

Computed, not measured: an optimized crystal structure of La2Nd2O at the PBE level of DFT.

## Properties
- V: 27.7 Å³/atom
- D(E_F): 4.7 states/eV/f.u.
- E: -29.94 eV/cell

Structure (CIF):
```
data_La2Nd2O
_chemical_formula_sum 'La2 Nd2 O1'
_cell_length_a 5.206
_cell_length_b 5.206
_cell_length_c 5.102
_cell_angle_alpha 90.00
_cell_angle_beta 90.00
_cell_angle_gamma 90.00
_space_group_name_H-M_alt 'P 4/m m m'
_space_group_IT_number 123
_space_group_name_Hall '-P 4 2'
loop_
_atom_site_label
_atom_site_type_symbol
_atom_site_fract_x
_atom_site_fract_y
_atom_site_fract_z
La1 La 0.000 0.500 0.000
Nd1 Nd 0.000 0.000 0.500
Nd2 Nd 0.500 0.500 0.500
O1 O 0.000 0.000 0.000
```

=====

Computed, not measured: an optimized crystal structure of AcTm2Cd at the PBE level of DFT.

## Properties
- Formation energy: -101 meV per atom
- V: 31.3 Å³/atom
- D(E_F): 5.5 states/eV/f.u.
- E: -14.37 eV/cell

Structure (CIF):
```
data_AcTm2Cd
_chemical_formula_sum 'Ac1 Tm2 Cd1'
_cell_length_a 3.720
_cell_length_b 3.720
_cell_length_c 9.032
_cell_angle_alpha 90.00
_cell_angle_beta 90.00
_cell_angle_gamma 90.00
_space_group_name_H-M_alt 'P 4/m m m'
_space_group_IT_number 123
_space_group_name_Hall '-P 4 2'
loop_
_atom_site_label
_atom_site_type_symbol
_atom_site_fract_x
_atom_site_fract_y
_atom_site_fract_z
Ac1 Ac 0.000 0.000 0.000
Tm1 Tm 0.500 0.500 0.296
Cd1 Cd 0.000 0.000 0.500
```

=====

Computed, not measured: an optimized crystal structure of PmDy3Th2 at the PBE level of DFT.

## Properties
- Formation energy: 585 meV per atom
- V: 37.7 Å³/atom
- D(E_F): 8.6 states/eV/f.u.
- E: -119.54 eV/cell

Structure (CIF):
```
data_PmDy3Th2
_chemical_formula_sum 'Pm4 Dy12 Th8'
_cell_length_a 6.943
_cell_length_b 11.461
_cell_length_c 11.369
_cell_angle_alpha 90.00
_cell_angle_beta 90.00
_cell_angle_gamma 90.00
_space_group_name_H-M_alt 'C m c m'
_space_group_IT_number 63
_space_group_name_Hall '-C 2c 2'
loop_
_atom_site_label
_atom_site_type_symbol
_atom_site_fract_x
_atom_site_fract_y
_atom_site_fract_z
Pm1 Pm 0.000 0.010 0.250
Dy1 Dy 0.000 0.495 0.750
Dy2 Dy 0.248 0.243 0.750
Th1 Th 0.244 0.500 0.000
```

=====

Computed, not measured: an optimized crystal structure of Er4CdPd2Rh at the PBE level of DFT.

## Properties
- Formation energy: -761 meV per atom
- V: 21.7 Å³/atom
- D(E_F): 5.3 states/eV/f.u.
- E: -128.97 eV/cell

Structure (CIF):
```
data_Er4CdPd2Rh
_chemical_formula_sum 'Er12 Cd3 Pd6 Rh3'
_cell_length_a 4.9815
_cell_length_b 4.9815
_cell_length_c 24.2502
_cell_angle_alpha 90.00
_cell_angle_beta 90.00
_cell_angle_gamma 120.00
_space_group_name_H-M_alt 'R -3 m'
_space_group_IT_number 166
_space_group_name_Hall '-R 3 2"'
loop_
_atom_site_label
_atom_site_type_symbol
_atom_site_fract_x
_atom_site_fract_y
_atom_site_fract_z
Er1 Er 0.0000 0.0000 0.1174
Er2 Er 0.0000 0.0000 0.3688
Cd1 Cd 0.0000 0.0000 0.5000
Pd1 Pd 0.0000 0.0000 0.2458
Rh1 Rh 0.0000 0.0000 0.0000
```

=====

Computed, not measured: an optimized crystal structure of InAg2Os at the PBE level of DFT.

## Properties
- Formation energy: 567 meV per atom
- V: 17.6 Å³/atom
- D(E_F): 2.1 states/eV/f.u.
- E: -34.81 eV/cell

Structure (CIF):
```
data_InAg2Os
_chemical_formula_sum 'In2 Ag4 Os2'
_cell_length_a 3.035
_cell_length_b 4.866
_cell_length_c 9.553
_cell_angle_alpha 90.00
_cell_angle_beta 90.00
_cell_angle_gamma 90.00
_space_group_name_H-M_alt 'I m m 2'
_space_group_IT_number 44
_space_group_name_Hall 'I 2 -2'
loop_
_atom_site_label
_atom_site_type_symbol
_atom_site_fract_x
_atom_site_fract_y
_atom_site_fract_z
In1 In 0.000 0.000 0.000
Ag1 Ag 0.000 0.000 0.507
Ag2 Ag 0.000 0.500 0.754
Os1 Os 0.000 0.500 0.258
```

=====

Computed, not measured: an optimized crystal structure of Tl3AgF at the PBE level of DFT.

## Properties
- V: 28.7 Å³/atom
- D(E_F): 1.3 states/eV/f.u.
- E: -14.08 eV/cell

Structure (CIF):
```
data_Tl3AgF
_chemical_formula_sum 'Tl3 Ag1 F1'
_cell_length_a 5.234
_cell_length_b 5.234
_cell_length_c 5.234
_cell_angle_alpha 90.00
_cell_angle_beta 90.00
_cell_angle_gamma 90.00
_space_group_name_H-M_alt 'P m -3 m'
_space_group_IT_number 221
_space_group_name_Hall '-P 4 2 3'
loop_
_atom_site_label
_atom_site_type_symbol
_atom_site_fract_x
_atom_site_fract_y
_atom_site_fract_z
Tl1 Tl 0.000 0.000 0.500
Ag1 Ag 0.500 0.500 0.500
F1 F 0.000 0.000 0.000
```

=====

Computed, not measured: an optimized crystal structure of Ho4Pd5Pt at the PBE level of DFT.

## Properties
- Formation energy: -939 meV per atom
- V: 20.0 Å³/atom
- D(E_F): 5.0 states/eV/f.u.
- E: -119.42 eV/cell

Structure (CIF):
```
data_Ho4Pd5Pt
_chemical_formula_sum 'Ho8 Pd10 Pt2'
_cell_length_a 14.822
_cell_length_b 4.852
_cell_length_c 5.807
_cell_angle_alpha 90.00
_cell_angle_beta 106.97
_cell_angle_gamma 90.00
_space_group_name_H-M_alt 'C 1 2/m 1'
_space_group_IT_number 12
_space_group_name_Hall '-C 2y'
loop_
_atom_site_label
_atom_site_type_symbol
_atom_site_fract_x
_atom_site_fract_y
_atom_site_fract_z
Ho1 Ho 0.086 0.000 0.327
Ho2 Ho 0.189 0.500 0.795
Pd1 Pd 0.000 0.500 0.000
Pd2 Pd 0.111 0.000 0.861
Pd3 Pd 0.213 0.500 0.316
Pt1 Pt 0.000 0.500 0.500
```

=====

Computed, not measured: an optimized crystal structure of Mg6CdC at the PBE level of DFT.

## Properties
- Formation energy: 409 meV per atom
- V: 20.6 Å³/atom
- D(E_F): 2.9 states/eV/f.u.
- E: -32.86 eV/cell

Structure (CIF):
```
data_Mg6CdC
_chemical_formula_sum 'Mg12 Cd2 C2'
_cell_length_a 4.528
_cell_length_b 6.015
_cell_length_c 12.114
_cell_angle_alpha 90.00
_cell_angle_beta 90.00
_cell_angle_gamma 90.00
_space_group_name_H-M_alt 'A m m 2'
_space_group_IT_number 38
_space_group_name_Hall 'A 2 -2'
loop_
_atom_site_label
_atom_site_type_symbol
_atom_site_fract_x
_atom_site_fract_y
_atom_site_fract_z
Mg1 Mg 0.000 0.000 0.000
Mg2 Mg 0.000 0.224 0.272
Mg3 Mg 0.500 0.000 0.849
Mg4 Mg 0.500 0.248 0.107
Cd1 Cd 0.000 0.000 0.510
C1 C 0.500 0.000 0.245
```